Entry 1:
DFT (PBE-GGA) results for crystalline TbCuF4 at its relaxed geometry.

Lattice parameters (Å, degrees): 5.4792 5.4792 4.6664 125.95 125.95 90.00
Fractional positions:
Tb (0.7500, 0.2500, 0.5000)
Cu (0.5000, 0.5000, 0.0000)
F (0.2713, 0.7876, 0.1239)
F (0.8526, 0.3363, 0.1239)
F (0.2124, 0.1474, 0.8761)
F (0.6637, 0.7287, 0.8761)

total magnetic moment: 0.1 μB per cell
formation energy without anion corrections: -2.859 eV/atom
space group: I-4 (82)

***

Entry 2:
DFT (PBE-GGA) results for crystalline Pm12Y6Ho at its relaxed geometry.

Lattice parameters (Å, degrees): 8.7939 8.7939 8.7939 97.81 97.81 97.81
Fractional positions:
Pm (0.5865, 0.1673, 0.5865)
Pm (0.1673, 0.5865, 0.5865)
Pm (0.5865, 0.5865, 0.1673)
Pm (0.4135, 0.8327, 0.4135)
Pm (0.8327, 0.4135, 0.4135)
Pm (0.4135, 0.4135, 0.8327)
Pm (0.2625, 0.0000, 0.7375)
Pm (0.2625, 0.7375, 0.0000)
Pm (0.0000, 0.2625, 0.7375)
Pm (0.7375, 0.0000, 0.2625)
Pm (0.7375, 0.2625, 0.0000)
Pm (0.0000, 0.7375, 0.2625)
Y (0.1397, 0.1397, 0.4079)
Y (0.8603, 0.5921, 0.8603)
Y (0.5921, 0.8603, 0.8603)
Y (0.8603, 0.8603, 0.5921)
Y (0.1397, 0.4079, 0.1397)
Y (0.4079, 0.1397, 0.1397)
Ho (0.0000, 0.0000, 0.0000)

total magnetic moment: 0.0 μB per cell
excess energy over the best structure of this formula in the dataset: 0 meV per atom
Fermi-level density of states: 25.768 states/eV per cell
space group: R-3m (166)

***

Entry 3:
DFT (PBE-GGA) results for crystalline Er4MgRu at its relaxed geometry.

Lattice parameters (Å, degrees): 9.6117 9.6117 9.6117 60.00 60.00 60.00
Fractional positions:
Er (0.4061, 0.4061, 0.4061)
Er (0.7817, 0.4061, 0.4061)
Er (0.4061, 0.7817, 0.4061)
Er (0.4061, 0.4061, 0.7817)
Er (0.5629, 0.5629, 0.9371)
Er (0.9371, 0.9371, 0.5629)
Er (0.5629, 0.9371, 0.5629)
Er (0.9371, 0.5629, 0.9371)
Er (0.9371, 0.5629, 0.5629)
Er (0.5629, 0.9371, 0.9371)
Er (0.1881, 0.1881, 0.8119)
Er (0.8119, 0.8119, 0.1881)
Er (0.1881, 0.8119, 0.1881)
Er (0.8119, 0.1881, 0.8119)
Er (0.8119, 0.1881, 0.1881)
Er (0.1881, 0.8119, 0.8119)
Mg (0.1706, 0.1706, 0.1706)
Mg (0.4883, 0.1706, 0.1706)
Mg (0.1706, 0.4883, 0.1706)
Mg (0.1706, 0.1706, 0.4883)
Ru (0.6107, 0.6107, 0.6107)
Ru (0.1678, 0.6107, 0.6107)
Ru (0.6107, 0.1678, 0.6107)
Ru (0.6107, 0.6107, 0.1678)

total magnetic moment: 0.0 μB per cell
E: -5.12 eV per atom
Fermi-level density of states: 23.809 states/eV per cell
space group: F-43m (216)

***

Entry 4:
DFT (PBE-GGA) results for crystalline Tl2InAgI5 at its relaxed geometry.

Lattice parameters (Å, degrees): 5.2306 10.4547 13.9392 90.00 90.00 104.49
Fractional positions:
Tl (0.8866, 0.7732, 0.8290)
Tl (0.1166, 0.2332, 0.6738)
Tl (0.1134, 0.2268, 0.3290)
Tl (0.8834, 0.7668, 0.1738)
In (0.5853, 0.1706, 0.9501)
In (0.4147, 0.8294, 0.4501)
Ag (0.7476, 0.4953, 0.6239)
Ag (0.2524, 0.5047, 0.1239)
I (0.3611, 0.7222, 0.9986)
I (0.7056, 0.4112, 0.8291)
I (0.5039, 0.0078, 0.7644)
I (0.3091, 0.6183, 0.6373)
I (0.9625, 0.9251, 0.5179)
I (0.6389, 0.2778, 0.4986)
I (0.2944, 0.5888, 0.3291)
I (0.4961, 0.9922, 0.2644)
I (0.6909, 0.3817, 0.1373)
I (0.0375, 0.0749, 0.0179)

total magnetic moment: 0.0 μB per cell
formation energy without anion corrections: -0.459 eV/atom
Fermi-level density of states: 2.366 states/eV per cell
space group: Cmc2_1 (36)

***

Entry 5:
DFT (PBE-GGA) results for crystalline AcSm12Y6 at its relaxed geometry.

Lattice parameters (Å, degrees): 8.8735 8.8735 8.8735 99.14 99.14 99.14
Fractional positions:
Ac (0.0000, 0.0000, 0.0000)
Sm (0.7573, 0.2427, 0.5000)
Sm (0.3545, 0.0782, 0.3545)
Sm (0.3545, 0.3545, 0.0782)
Sm (0.9218, 0.6455, 0.6455)
Sm (0.6455, 0.6455, 0.9218)
Sm (0.6455, 0.9218, 0.6455)
Sm (0.5000, 0.7573, 0.2427)
Sm (0.2427, 0.5000, 0.7573)
Sm (0.2427, 0.7573, 0.5000)
Sm (0.5000, 0.2427, 0.7573)
Sm (0.7573, 0.5000, 0.2427)
Sm (0.0782, 0.3545, 0.3545)
Y (0.8954, 0.3432, 0.8954)
Y (0.8954, 0.8954, 0.3432)
Y (0.3432, 0.8954, 0.8954)
Y (0.1046, 0.1046, 0.6568)
Y (0.1046, 0.6568, 0.1046)
Y (0.6568, 0.1046, 0.1046)

total magnetic moment: 0.0 μB per cell
E: -5.04 eV per atom
Fermi-level density of states: 36.791 states/eV per cell
space group: R-3m (166)

***

Entry 6:
DFT (PBE-GGA) results for crystalline Er6FeTe4 at its relaxed geometry.

Lattice parameters (Å, degrees): 8.4879 8.4879 8.4879 91.15 91.15 88.85
Fractional positions:
Er (0.7165, 0.0613, 0.0700)
Er (0.0700, 0.2835, 0.0613)
Er (0.5700, 0.4387, 0.2165)
Er (0.9387, 0.0700, 0.7165)
Er (0.5613, 0.2165, 0.5700)
Er (0.2165, 0.4300, 0.4387)
Er (0.7835, 0.5700, 0.5613)
Er (0.4387, 0.7835, 0.4300)
Er (0.0613, 0.9300, 0.2835)
Er (0.4300, 0.5613, 0.7835)
Er (0.9300, 0.7165, 0.9387)
Er (0.2835, 0.9387, 0.9300)
Fe (0.5000, 0.5000, 0.5000)
Fe (0.0000, 0.0000, 0.0000)
Te (0.3810, 0.1190, 0.2500)
Te (0.8810, 0.2500, 0.3810)
Te (0.2500, 0.6190, 0.1190)
Te (0.2500, 0.2500, 0.7500)
Te (0.7500, 0.7500, 0.2500)
Te (0.7500, 0.3810, 0.8810)
Te (0.1190, 0.7500, 0.6190)
Te (0.6190, 0.8810, 0.7500)

total magnetic moment: 0.0 μB per cell
formation energy without anion corrections: -0.815 eV/atom
Fermi-level density of states: 17.419 states/eV per cell
space group: R-3c (167)

***

Entry 7:
DFT (PBE-GGA) results for crystalline Eu3In5I12 at its relaxed geometry.

Lattice parameters (Å, degrees): 17.0042 17.0042 17.0042 109.47 109.47 109.47
Fractional positions:
Eu (0.7500, 0.3750, 0.1250)
Eu (0.8750, 0.7500, 0.1250)
Eu (0.3750, 0.7500, 0.6250)
Eu (0.2500, 0.1250, 0.3750)
Eu (0.8750, 0.1250, 0.2500)
Eu (0.3750, 0.6250, 0.2500)
Eu (0.6250, 0.3750, 0.7500)
Eu (0.1250, 0.8750, 0.7500)
Eu (0.7500, 0.8750, 0.6250)
Eu (0.6250, 0.2500, 0.3750)
Eu (0.1250, 0.2500, 0.8750)
Eu (0.2500, 0.6250, 0.8750)
In (0.1250, 0.3750, 0.2500)
In (0.0000, 0.5000, 0.0000)
In (0.0000, 0.0000, 0.0000)
In (0.3750, 0.2500, 0.1250)
In (0.5000, 0.0000, 0.5000)
In (0.5000, 0.5000, 0.0000)
In (0.1250, 0.7500, 0.3750)
In (0.7500, 0.1250, 0.8750)
In (0.7500, 0.6250, 0.3750)
In (0.3750, 0.1250, 0.7500)
In (0.6250, 0.8750, 0.2500)
In (0.5000, 0.5000, 0.5000)
In (0.5000, 0.0000, 0.0000)
In (0.0000, 0.0000, 0.5000)
In (0.2500, 0.3750, 0.6250)
In (0.2500, 0.8750, 0.1250)
In (0.0000, 0.5000, 0.5000)
In (0.8750, 0.2500, 0.6250)
In (0.6250, 0.7500, 0.8750)
In (0.8750, 0.6250, 0.7500)
I (0.7295, 0.1298, 0.0600)
I (0.3306, 0.5600, 0.4302)
I (0.9400, 0.3702, 0.2705)
I (0.5600, 0.2295, 0.1298)
I (0.5997, 0.7295, 0.6694)
I (0.9400, 0.5698, 0.1694)
I (0.3306, 0.7705, 0.4003)
I (0.0698, 0.9003, 0.1298)
I (0.5698, 0.9400, 0.6694)
I (0.7295, 0.5997, 0.1694)
I (0.7705, 0.4400, 0.3702)
I (0.8306, 0.9302, 0.0600)
I (0.1298, 0.7295, 0.5600)
I (0.3702, 0.4302, 0.0997)
I (0.0997, 0.9302, 0.3702)
I (0.4003, 0.1298, 0.5698)
I (0.0997, 0.1694, 0.2295)
I (0.4400, 0.6694, 0.0698)
I (0.8306, 0.9003, 0.2705)
I (0.1298, 0.4003, 0.0698)
I (0.3702, 0.9400, 0.7705)
I (0.5698, 0.6298, 0.4003)
I (0.9302, 0.8306, 0.5600)
I (0.7705, 0.3306, 0.9003)
I (0.4302, 0.3702, 0.5997)
I (0.0698, 0.1694, 0.4400)
I (0.2295, 0.6694, 0.0997)
I (0.1694, 0.0997, 0.7295)
I (0.6298, 0.0600, 0.2295)
I (0.8702, 0.5997, 0.9302)
I (0.5600, 0.3306, 0.9302)
I (0.5997, 0.8702, 0.4302)
I (0.9003, 0.8306, 0.7705)
I (0.9003, 0.0698, 0.6298)
I (0.8702, 0.2705, 0.4400)
I (0.1694, 0.0698, 0.9400)
I (0.6298, 0.5698, 0.9003)
I (0.4302, 0.0600, 0.3306)
I (0.2705, 0.4003, 0.8306)
I (0.2295, 0.5600, 0.6298)
I (0.9302, 0.0997, 0.8702)
I (0.6694, 0.2295, 0.5997)
I (0.4400, 0.7705, 0.8702)
I (0.0600, 0.4302, 0.8306)
I (0.4003, 0.2705, 0.3306)
I (0.0600, 0.6298, 0.7295)
I (0.6694, 0.4400, 0.5698)
I (0.2705, 0.8702, 0.9400)

total magnetic moment: 82.0 μB per cell
formation energy without anion corrections: -0.832 eV/atom
Fermi-level density of states: 198.657 states/eV per cell
space group: Ia-3d (230)

***

Entry 8:
DFT (PBE-GGA) results for crystalline NbTlTeI2 at its relaxed geometry.

Lattice parameters (Å, degrees): 5.8632 5.8632 5.4276 90.00 90.00 90.00
Fractional positions:
I (0.0000, 0.5000, 0.0000)
I (0.5000, 0.0000, 0.0000)
Tl (0.5000, 0.5000, 0.5000)
Te (0.0000, 0.0000, 0.5000)
Nb (0.0000, 0.0000, 0.0000)

total magnetic moment: 1.9 μB per cell
formation energy without anion corrections: -0.147 eV/atom
excess energy over the best structure of this formula in the dataset: 0 meV per atom
Fermi-level density of states: 3.345 states/eV per cell
space group: P4/mmm (123)